No. 1
# La4PdRh PBE-GGA relaxed
data_La4PdRh
_chemical_formula_sum 'La8 Pd2 Rh2'
_symmetry_space_group_name_H-M 'P 4/m c c'
_symmetry_Int_Tables_number 124
_symmetry_space_group_name_Hall '-P 4 2c'
_cell_length_a 7.232
_cell_length_b 7.232
_cell_length_c 6.596
_cell_angle_alpha 90.00
_cell_angle_beta 90.00
_cell_angle_gamma 90.00
loop_
_atom_site_label
_atom_site_type_symbol
_atom_site_fract_x
_atom_site_fract_y
_atom_site_fract_z
La1 La 0.176 0.313 0.000
Pd1 Pd 0.500 0.500 0.250
Rh1 Rh 0.000 0.000 0.250
# DOS at the Fermi energy (states/eV per cell): 17.26
# Energy (eV/atom): -5.88
# Calculated formation energy (eV per atom): -0.5062


No. 2
# MgMo2Cl PBE-GGA relaxed
data_MgMo2Cl
_chemical_formula_sum 'Mg1 Mo2 Cl1'
_symmetry_space_group_name_H-M 'P 4/m m m'
_symmetry_Int_Tables_number 123
_symmetry_space_group_name_Hall '-P 4 2'
_cell_length_a 2.782
_cell_length_b 2.782
_cell_length_c 8.633
_cell_angle_alpha 90.00
_cell_angle_beta 90.00
_cell_angle_gamma 90.00
loop_
_atom_site_label
_atom_site_type_symbol
_atom_site_fract_x
_atom_site_fract_y
_atom_site_fract_z
Mg1 Mg 0.000 0.000 0.000
Mo1 Mo 0.500 0.500 0.261
Cl1 Cl 0.000 0.000 0.500
# DOS at the Fermi energy (states/eV per cell): 2.92
# Energy (eV/atom): -5.61
# Raw formation energy (eV per formula unit): 2.65


No. 3
# V12Cu3Sb5 PBE-GGA relaxed
data_V12Cu3Sb5
_chemical_formula_sum 'V96 Cu24 Sb40'
_symmetry_space_group_name_H-M 'I a -3 d'
_symmetry_Int_Tables_number 230
_symmetry_space_group_name_Hall '-I 4bd 2c 3'
_cell_length_a 14.949
_cell_length_b 14.949
_cell_length_c 14.949
_cell_angle_alpha 90.00
_cell_angle_beta 90.00
_cell_angle_gamma 90.00
loop_
_atom_site_label
_atom_site_type_symbol
_atom_site_fract_x
_atom_site_fract_y
_atom_site_fract_z
V1 V 0.008 0.080 0.159
Cu1 Cu 0.000 0.250 0.125
Sb1 Sb 0.000 0.000 0.000
Sb2 Sb 0.000 0.250 0.375
# DOS at the Fermi energy (states/eV per cell): 192.26
# Energy (eV/atom): -6.42
# Raw formation energy (eV per formula unit): 13.93


No. 4
# Ce7ThIn3 PBE-GGA relaxed
data_Ce7ThIn3
_chemical_formula_sum 'Ce14 Th2 In6'
_symmetry_space_group_name_H-M 'C 1 2/m 1'
_symmetry_Int_Tables_number 12
_cell_length_a 11.437
_cell_length_b 10.896
_cell_length_c 5.699
_cell_angle_alpha 90.00
_cell_angle_beta 115.64
_cell_angle_gamma 90.00
loop_
_symmetry_equiv_pos_as_xyz
'x,y,z'
'-x,-y,-z'
'-x,y,-z'
'x,-y,z'
'x+1/2,y+1/2,z'
'-x+1/2,-y+1/2,-z'
'-x+1/2,y+1/2,-z'
'x+1/2,-y+1/2,z'
loop_
_atom_site_label
_atom_site_type_symbol
_atom_site_fract_x
_atom_site_fract_y
_atom_site_fract_z
Ce1 Ce 0.000 0.000 0.000
Ce2 Ce 0.180 0.247 0.648
Ce3 Ce 0.202 0.500 0.195
Th1 Th 0.000 0.000 0.500
In1 In 0.000 0.281 0.000
In2 In 0.000 0.500 0.500
# DOS at the Fermi energy (states/eV per cell): 59.88
# Energy (eV/atom): -5.15
# Calculated formation energy (eV per atom): 0.0476


No. 5
# CaAcTh2Sb4 PBE-GGA relaxed
data_CaAcTh2Sb4
_chemical_formula_sum 'Ca1 Ac1 Th2 Sb4'
_symmetry_space_group_name_H-M 'P 1 2/m 1'
_symmetry_Int_Tables_number 10
_cell_length_a 7.920
_cell_length_b 4.588
_cell_length_c 8.008
_cell_angle_alpha 90.00
_cell_angle_beta 109.34
_cell_angle_gamma 90.00
loop_
_symmetry_equiv_pos_as_xyz
'x,y,z'
'-x,-y,-z'
'-x,y,-z'
'x,-y,z'
loop_
_atom_site_label
_atom_site_type_symbol
_atom_site_fract_x
_atom_site_fract_y
_atom_site_fract_z
Ca1 Ca 0.000 0.000 0.000
Ac1 Ac 0.500 0.500 0.000
Th1 Th 0.000 0.500 0.500
Th2 Th 0.500 0.000 0.500
Sb1 Sb 0.240 0.000 0.737
Sb2 Sb 0.249 0.500 0.260
# DOS at the Fermi energy (states/eV per cell): 2.00
# Energy (eV/atom): -5.71
# Raw formation energy (eV per formula unit): -8.22


No. 6
# NaBe2MoAu PBE-GGA relaxed
data_NaBe2MoAu
_chemical_formula_sum 'Na1 Be2 Mo1 Au1'
_symmetry_space_group_name_H-M 'P 4/m m m'
_symmetry_Int_Tables_number 123
_symmetry_space_group_name_Hall '-P 4 2'
_cell_length_a 4.251
_cell_length_b 4.251
_cell_length_c 4.573
_cell_angle_alpha 90.00
_cell_angle_beta 90.00
_cell_angle_gamma 90.00
loop_
_atom_site_label
_atom_site_type_symbol
_atom_site_fract_x
_atom_site_fract_y
_atom_site_fract_z
Na1 Na 0.000 0.000 0.000
Be1 Be 0.000 0.500 0.000
Mo1 Mo 0.000 0.000 0.500
Au1 Au 0.500 0.500 0.500
# DOS at the Fermi energy (states/eV per cell): 2.37
# Energy (eV/atom): -2.65
# Calculated formation energy (eV per atom): 1.9265


No. 7
# Ac3N2 PBE-GGA relaxed
data_Ac3N2
_chemical_formula_sum 'Ac18 N12'
_symmetry_space_group_name_H-M 'C 1 2/m 1'
_symmetry_Int_Tables_number 12
_cell_length_a 20.587
_cell_length_b 3.809
_cell_length_c 10.057
_cell_angle_alpha 90.00
_cell_angle_beta 103.62
_cell_angle_gamma 90.00
loop_
_symmetry_equiv_pos_as_xyz
'x,y,z'
'-x,-y,-z'
'-x,y,-z'
'x,-y,z'
'x+1/2,y+1/2,z'
'-x+1/2,-y+1/2,-z'
'-x+1/2,y+1/2,-z'
'x+1/2,-y+1/2,z'
loop_
_atom_site_label
_atom_site_type_symbol
_atom_site_fract_x
_atom_site_fract_y
_atom_site_fract_z
Ac1 Ac 0.000 0.000 0.000
Ac2 Ac 0.075 0.000 0.684
Ac3 Ac 0.096 0.500 0.337
Ac4 Ac 0.157 0.500 0.014
Ac5 Ac 0.244 0.500 0.656
N1 N 0.040 0.500 0.830
N2 N 0.128 0.000 0.161
N3 N 0.169 0.000 0.503
# DOS at the Fermi energy (states/eV per cell): 22.65
# Energy (eV/atom): -6.61
# Raw formation energy (eV per formula unit): -4.05


No. 8
# NbInN3 PBE-GGA relaxed
data_NbInN3
_chemical_formula_sum 'Nb1 In1 N3'
_symmetry_space_group_name_H-M 'P m -3 m'
_symmetry_Int_Tables_number 221
_symmetry_space_group_name_Hall '-P 4 2 3'
_cell_length_a 4.099
_cell_length_b 4.099
_cell_length_c 4.099
_cell_angle_alpha 90.00
_cell_angle_beta 90.00
_cell_angle_gamma 90.00
loop_
_atom_site_label
_atom_site_type_symbol
_atom_site_fract_x
_atom_site_fract_y
_atom_site_fract_z
Nb1 Nb 0.000 0.000 0.000
In1 In 0.500 0.500 0.500
N1 N 0.000 0.000 0.500
# DOS at the Fermi energy (states/eV per cell): 3.14
# Energy (eV/atom): -7.04
# Raw formation energy (eV per formula unit): 2.57